# 1
Entry from Alexandria: a relaxed La6Sb5Cl crystal (PBE-GGA).

Output
The calculated volume comes out at 33.9 Å³/atom. As for the symmetry: No. 12. The calculation puts the formation energy from raw total energies at -1365 meV per atom. For the calculated density, the calculation gives 6.0 g cm⁻³. For the magnetization, the calculation gives 0.0 Bohr magnetons per cell.

Unit cell a=7.933 b=7.933 c=7.924 alpha=99.61 beta=99.61 gamma=119.94
Fractional positions:
La 0.079 0.416 0.748
La 0.247 0.247 0.253
La 0.416 0.079 0.748
La 0.584 0.921 0.252
La 0.753 0.753 0.747
La 0.921 0.584 0.252
Sb 0.000 0.000 0.500
Sb 0.167 0.833 0.000
Sb 0.334 0.666 0.500
Sb 0.666 0.334 0.500
Sb 0.833 0.167 0.000
Cl 0.500 0.500 0.000



# 2
Entry from Alexandria: a relaxed LaSb2Cl crystal (PBE-GGA).

Output
The calculated volume comes out at 29.5 Å³/atom. As for the symmetry: No. 122. The calculation puts the formation energy from raw total energies at -916 meV per atom. For the calculated density, the calculation gives 5.9 g cm⁻³. For the magnetization, the calculation gives 0.0 Bohr magnetons per cell. The offset from the most stable computed form comes out at 0.205 eV per atom.

Unit cell a=12.880 b=12.880 c=12.880 alpha=160.57 beta=160.57 gamma=27.61
Fractional positions:
La 0.000 0.000 0.000
La 0.750 0.250 0.500
Sb 0.096 0.625 0.971
Sb 0.375 0.346 0.471
Sb 0.654 0.125 0.029
Sb 0.875 0.904 0.529
Cl 0.250 0.750 0.500
Cl 0.500 0.500 0.000



# 3
Entry from Alexandria: a relaxed La3SbSeCl crystal (PBE-GGA).

Output
The calculated volume comes out at 31.1 Å³/atom. As for the symmetry: No. 11. The calculation puts the formation energy from raw total energies at -1535 meV per atom. For the calculated density, the calculation gives 5.8 g cm⁻³. For the magnetization, the calculation gives 1.9 Bohr magnetons per cell.

Unit cell a=8.735 b=4.430 c=9.939 alpha=90.00 beta=103.97 gamma=90.00
Fractional positions:
La 0.076 0.250 0.351
La 0.230 0.250 0.998
La 0.400 0.750 0.624
La 0.600 0.250 0.376
La 0.770 0.750 0.002
La 0.924 0.750 0.649
Sb 0.313 0.750 0.271
Sb 0.687 0.250 0.729
Se 0.166 0.250 0.664
Se 0.834 0.750 0.336
Cl 0.399 0.750 0.913
Cl 0.601 0.250 0.087



# 4
Entry from Alexandria: a relaxed La4SbSe2Cl crystal (PBE-GGA).

Output
The calculated volume comes out at 29.6 Å³/atom. As for the symmetry: No. 139. The calculation puts the formation energy from raw total energies at -1693 meV per atom. For the calculated density, the calculation gives 6.1 g cm⁻³. For the magnetization, the calculation gives 0.0 Bohr magnetons per cell.

Unit cell a=7.567 b=7.567 c=7.567 alpha=131.69 beta=131.69 gamma=70.72
Fractional positions:
La 0.000 0.500 0.500
La 0.246 0.246 0.000
La 0.500 0.000 0.500
La 0.754 0.754 0.000
Sb 0.500 0.500 0.000
Se 0.250 0.750 0.500
Se 0.750 0.250 0.500
Cl 0.000 0.000 0.000